No. 1
Material: Zn2HPdRh
Method: DFT, PBE
State: relaxed

The space group is P4/mmm (No. 123) and the conventional cell measures 4.2112, 4.2112 and 3.3891 Å, with angles of 90.00, 90.00 and 90.00 degrees. The inequivalent atoms are Zn at (0.0000, 0.5000, 0.0000), H at (0.0000, 0.0000, 0.0000), Pd at (0.5000, 0.5000, 0.5000) and Rh at (0.0000, 0.0000, 0.5000).

The calculation puts the theoretical density at 9.4 g/cm³. The calculation puts the total magnetization at 0.0 Bohr magnetons per cell. Its crystal system is tetragonal. The distance to the lowest polymorph of the same formula is 0.000 eV per atom.

No. 2
Material: Sc2SiRh
Method: DFT, PBE
State: relaxed

The space group is I-42d (No. 122) and the conventional cell measures 7.1905, 7.1905 and 5.8760 Å, with angles of 90.00, 90.00 and 90.00 degrees. The inequivalent atoms are Sc at (0.2280, 0.7500, 0.1250), Si at (0.0000, 0.0000, 0.5000) and Rh at (0.0000, 0.0000, 0.0000).

The formation energy from raw total energies is -1.3 eV per formula unit. The calculation puts the theoretical density at 4.8 g/cm³. The calculation puts the total magnetization at 0.0 Bohr magnetons per cell. Its crystal system is tetragonal.

No. 3
Material: TbYEr
Method: DFT, PBE
State: relaxed

The space group is P6_3mc (No. 186) and the conventional cell measures 3.5070, 3.5070 and 18.1045 Å, with angles of 90.00, 90.00 and 120.00 degrees. The inequivalent atoms are Tb at (0.0000, 0.0000, 0.0000), Y at (0.3333, 0.6667, 0.3417) and Er at (0.3333, 0.6667, 0.1555).

The calculation puts the theoretical density at 7.1 g/cm³. The calculation puts the total magnetization at 0.0 Bohr magnetons per cell. Its crystal system is hexagonal. Its energy of formation from the pure elements is 0.108 eV/atom. The distance to the lowest polymorph of the same formula is 0.086 eV per atom.

No. 4
Material: LiTlSi
Method: DFT, PBE
State: relaxed

The space group is Cmcm (No. 63) and the conventional cell measures 4.0720, 16.9614 and 3.7158 Å, with angles of 90.00, 90.00 and 90.00 degrees. The inequivalent atoms are Li at (0.0000, 0.0597, 0.2500), Tl at (0.0000, 0.1924, 0.7500) and Si at (0.0000, 0.4554, 0.2500).

The formation energy from raw total energies is -0.1 eV per formula unit. The calculation puts the theoretical density at 6.2 g/cm³. The calculation puts the total magnetization at 0.0 Bohr magnetons per cell. Its crystal system is orthorhombic.

No. 5
Material: Ho3Te2
Method: DFT, PBE
State: relaxed

The space group is Pnma (No. 62) and the conventional cell measures 11.8348, 4.0874 and 11.6291 Å, with angles of 90.00, 90.00 and 90.00 degrees. The inequivalent atoms are Ho at (0.0449, 0.2500, 0.1237), Ho at (0.1226, 0.7500, 0.5667), Ho at (0.2088, 0.2500, 0.7925), Te at (0.0334, 0.7500, 0.3203) and Te at (0.1945, 0.7500, 0.9968).

The formation energy from raw total energies is -5.2 eV per formula unit. The calculation puts the theoretical density at 8.9 g/cm³. The calculation puts the total magnetization at 0.0 Bohr magnetons per cell. Its crystal system is orthorhombic.